SrPdWO6 | GGA+U | optimized geometry

- magnetic moment (μB/f.u.) = 0.0
- SG = No. 149
- density of states at the Fermi level (states/eV per cell) = 0.00
- electronic total energy (eV/atom) = -6.625

```
data_SrPdWO6
_chemical_formula_sum 'Sr1 Pd1 W1 O6'
_space_group_name_H-M_alt 'P 1'
_space_group_IT_number 1
_cell_length_a 5.295
_cell_length_b 5.295
_cell_length_c 5.419
_cell_angle_alpha 90.00
_cell_angle_beta 90.00
_cell_angle_gamma 120.00
loop_
_space_group_symop_operation_xyz
'x,y,z'
loop_
_atom_site_label
_atom_site_fract_x
_atom_site_fract_y
_atom_site_fract_z
Sr1 0.000 0.000 0.000
Pd1 0.333 0.667 0.500
W1 0.667 0.333 0.500
O1 0.381 0.012 0.703
O2 0.381 0.369 0.297
O3 0.631 0.012 0.297
O4 0.631 0.619 0.703
O5 0.988 0.369 0.703
O6 0.988 0.619 0.297
```